1.
The following is a PBE+U calculation of a relaxed CdWO2 crystal, from Alexandria via LeMat-Bulk.

Summary:
For the uncorrected energy, the calculation gives -21.741 eV/f.u. The calculation puts the spin magnetization at 2.00 μB per formula unit. The space group is No. 122.

Cell lengths 6.3461, 6.3461, 6.3251 Å; angles 59.89, 59.89, 90.00 degrees
With the nearest neighbours (Å) after each atom.
Atoms (fractional coordinates):
O1 0.8249 0.1250 0.2500  2 W 1.96
O2 0.9251 0.6250 0.2500  2 W 1.96
O3 0.3750 0.1751 0.7500  2 W 1.96
O4 0.8750 0.0749 0.7500  2 W 1.96
W1 0.0000 0.0000 0.0000  4 O 1.96
W2 0.7500 0.2500 0.5000  4 O 1.96
Cd1 0.5000 0.5000 0.0000  8 O 3.45-3.71
Cd2 0.2500 0.7500 0.5000  8 O 3.45-3.71

2.
The following is a PBE+U calculation of a relaxed CdWO3 crystal, from Alexandria via LeMat-Bulk.

Summary:
For the uncorrected energy, the calculation gives -29.311 eV/f.u. The calculation puts the spin magnetization at 0.00 μB per formula unit. The space group is No. 221.

Cell lengths 3.9754, 3.9754, 3.9754 Å; angles 90.00, 90.00, 90.00 degrees
With the nearest neighbours (Å) after each atom.
Atoms (fractional coordinates):
O1 0.0000 0.5000 0.0000  2 W 1.99
O2 0.0000 0.0000 0.5000  2 W 1.99
O3 0.5000 0.0000 0.0000  2 W 1.99
W1 0.0000 0.0000 0.0000  6 O 1.99
Cd1 0.5000 0.5000 0.5000  12 O 2.81

3.
The following is a PBE+U calculation of a relaxed CdWO2 crystal, from Alexandria via LeMat-Bulk.

Summary:
For the uncorrected energy, the calculation gives -22.975 eV/f.u. The calculation puts the spin magnetization at 2.24 μB per formula unit. The space group is No. 166.

Cell lengths 7.5674, 7.5674, 7.5674 Å; angles 24.41, 24.41, 24.41 degrees
With the nearest neighbours (Å) after each atom.
Atoms (fractional coordinates):
O1 0.8794 0.8794 0.8794  3 W 2.11
O2 0.1206 0.1206 0.1206  3 W 2.11
W1 0.5000 0.5000 0.5000  6 O 2.11
Cd1 0.0000 0.0000 0.0000  2 O 2.66

4.
The following is a PBE+U calculation of a relaxed Cd2W2O7 crystal, from Alexandria via LeMat-Bulk.

Summary:
For the uncorrected energy, the calculation gives -68.833 eV/f.u. The calculation puts the spin magnetization at 1.99 μB per formula unit. The space group is No. 227.

Cell lengths 7.4427, 7.4427, 7.4427 Å; angles 60.00, 60.00, 60.00 degrees
With the nearest neighbours (Å) after each atom.
Atoms (fractional coordinates):
Cd1 0.6250 0.6250 0.6250  2 O 2.28
Cd2 0.6250 0.6250 0.1250  2 O 2.28
Cd3 0.6250 0.1250 0.6250  2 O 2.28
Cd4 0.1250 0.6250 0.6250  2 O 2.28
W1 0.6250 0.1250 0.1250  6 O 1.99
W2 0.1250 0.6250 0.1250  6 O 1.99
W3 0.1250 0.1250 0.6250  6 O 1.99
W4 0.1250 0.1250 0.1250  6 O 1.99
O1 0.1909 0.1909 0.8091  2 W 1.99
O2 0.1909 0.8091 0.1909  2 W 1.99
O3 0.4409 0.0591 0.4409  2 W 1.99
O4 0.4409 0.4409 0.0591  2 W 1.99
O5 0.7500 0.7500 0.7500  4 Cd 2.28
O6 0.8091 0.1909 0.1909  2 W 1.99
O7 0.4409 0.0591 0.0591  2 W 1.99
O8 0.0591 0.4409 0.4409  2 W 1.99
O9 0.0591 0.0591 0.4409  2 W 1.99
O10 0.0591 0.4409 0.0591  2 W 1.99
O11 0.1909 0.8091 0.8091  2 W 1.99
O12 0.5000 0.5000 0.5000  4 Cd 2.28
O13 0.8091 0.1909 0.8091  2 W 1.99
O14 0.8091 0.8091 0.1909  2 W 1.99

- What is the formula in the fourth record?
  Cd2W2O7

Repeat the fourth record exactly.
The following is a PBE+U calculation of a relaxed Cd2W2O7 crystal, from Alexandria via LeMat-Bulk.

Summary:
For the uncorrected energy, the calculation gives -68.833 eV/f.u. The calculation puts the spin magnetization at 1.99 μB per formula unit. The space group is No. 227.

Cell lengths 7.4427, 7.4427, 7.4427 Å; angles 60.00, 60.00, 60.00 degrees
With the nearest neighbours (Å) after each atom.
Atoms (fractional coordinates):
Cd1 0.6250 0.6250 0.6250  2 O 2.28
Cd2 0.6250 0.6250 0.1250  2 O 2.28
Cd3 0.6250 0.1250 0.6250  2 O 2.28
Cd4 0.1250 0.6250 0.6250  2 O 2.28
W1 0.6250 0.1250 0.1250  6 O 1.99
W2 0.1250 0.6250 0.1250  6 O 1.99
W3 0.1250 0.1250 0.6250  6 O 1.99
W4 0.1250 0.1250 0.1250  6 O 1.99
O1 0.1909 0.1909 0.8091  2 W 1.99
O2 0.1909 0.8091 0.1909  2 W 1.99
O3 0.4409 0.0591 0.4409  2 W 1.99
O4 0.4409 0.4409 0.0591  2 W 1.99
O5 0.7500 0.7500 0.7500  4 Cd 2.28
O6 0.8091 0.1909 0.1909  2 W 1.99
O7 0.4409 0.0591 0.0591  2 W 1.99
O8 0.0591 0.4409 0.4409  2 W 1.99
O9 0.0591 0.0591 0.4409  2 W 1.99
O10 0.0591 0.4409 0.0591  2 W 1.99
O11 0.1909 0.8091 0.8091  2 W 1.99
O12 0.5000 0.5000 0.5000  4 Cd 2.28
O13 0.8091 0.1909 0.8091  2 W 1.99
O14 0.8091 0.8091 0.1909  2 W 1.99